1.
First-principles (PBE) data for a relaxed structure of Rb3U3MnTe8, as listed in the Alexandria database.

```
Rb3U3MnTe8
1.0
8.8555 -0.0002 0.0007
-4.4279 7.6682 -0.0318
0.0002 -5.0782 8.7716
Te Rb Mn U
8 3 1 3
direct
0.7341 0.4681 0.7022
0.7731 0.5462 0.3088
0.2269 0.4538 0.6912
0.2659 0.5319 0.2978
0.7732 0.0357 0.3089
0.2626 0.0356 0.3088
0.7374 0.9644 0.6912
0.2268 0.9643 0.6911
0.5000 0.5000 0.0000
0.0000 0.5000 0.0000
0.0000 0.0000 0.0000
0.0000 0.0000 0.5000
0.5000 0.0000 0.5000
0.5000 0.5000 0.5000
0.0000 0.5000 0.5000
```

Values from the calculation:
For the energy relative to the elements, uncorrected, the calculation gives -69.68 kJ per mole of atoms. For the total energy, the calculation gives -81.9 eV per formula unit.

---

2.
First-principles (PBE) data for a relaxed structure of Rb4U3MnTe8, as listed in the Alexandria database.

```
Rb4U3MnTe8
1.0
9.0277 0.0000 0.0000
0.0000 9.9799 0.6642
-4.5138 -4.5111 6.3895
Rb Te U Mn
4 8 3 1
direct
0.0000 0.0000 0.0000
0.5000 0.0000 0.5000
0.0000 0.0000 0.5000
0.5000 0.0000 0.0000
0.7429 0.6936 0.9682
0.7744 0.3062 0.5488
0.7345 0.7036 0.4690
0.2655 0.2964 0.5310
0.2571 0.3064 0.0318
0.7747 0.3064 0.0318
0.2256 0.6938 0.4512
0.2253 0.6936 0.9682
0.5000 0.5000 0.5000
0.5000 0.5000 0.0000
0.0000 0.5000 0.5000
0.0000 0.5000 0.0000
```

Values from the calculation:
For the energy relative to the elements, uncorrected, the calculation gives -73.47 kJ per mole of atoms. For the total energy, the calculation gives -84.2 eV per formula unit.

---

3.
First-principles (PBE) data for a relaxed structure of RbUMnTe4, as listed in the Alexandria database.

```
RbUMnTe4
1.0
7.2097 0.0000 -0.2126
0.0000 7.0217 0.0000
-3.1286 0.0000 9.8064
Te Rb Mn U
8 2 2 2
direct
0.4503 0.7500 0.5941
0.9708 0.4875 0.2952
0.9708 0.0125 0.2952
0.4353 0.7500 0.1680
0.5497 0.2500 0.4059
0.0292 0.5125 0.7048
0.0292 0.9875 0.7048
0.5647 0.2500 0.8320
0.7652 0.7500 0.9503
0.2348 0.2500 0.0497
0.7609 0.2500 0.6618
0.2391 0.7500 0.3382
0.2380 0.2500 0.5514
0.7620 0.7500 0.4486
```

Values from the calculation:
For the energy relative to the elements, uncorrected, the calculation gives -55.56 kJ per mole of atoms. For the total energy, the calculation gives -38.0 eV per formula unit.

---

4.
First-principles (PBE) data for a relaxed structure of RbMnVTe4, as listed in the Alexandria database.

```
RbMnVTe4
1.0
6.7081 0.0000 -1.2578
0.0000 7.4470 0.0000
-4.5117 0.0000 10.2602
Mn Te Rb V
2 8 2 2
direct
0.2239 0.7500 0.3534
0.7761 0.2500 0.6466
0.4025 0.2500 0.3891
0.9178 0.9969 0.3266
0.0822 0.0031 0.6734
0.3712 0.7500 0.1856
0.9178 0.5031 0.3266
0.6288 0.2500 0.8144
0.0822 0.4969 0.6734
0.5975 0.7500 0.6109
0.3297 0.2500 0.0417
0.6703 0.7500 0.9583
0.2110 0.2500 0.5385
0.7890 0.7500 0.4615
```

Values from the calculation:
For the energy relative to the elements, uncorrected, the calculation gives -31.75 kJ per mole of atoms. For the total energy, the calculation gives -34.1 eV per formula unit.

---

5.
First-principles (PBE) data for a relaxed structure of RbMnVTe3, as listed in the Alexandria database.

```
RbMnVTe3
1.0
4.0101 0.0000 0.0000
0.0000 9.3037 -1.2731
0.0000 -3.5650 10.2379
Te Mn Rb V
6 2 2 2
direct
0.7500 0.8818 0.1278
0.2500 0.5299 0.8739
0.2500 0.7652 0.4429
0.2500 0.1182 0.8722
0.7500 0.4701 0.1261
0.7500 0.2348 0.5571
0.7500 0.9092 0.3765
0.2500 0.0908 0.6235
0.7500 0.7480 0.7330
0.2500 0.2520 0.2670
0.2500 0.6976 0.1642
0.7500 0.3024 0.8358
```

Values from the calculation:
For the energy relative to the elements, uncorrected, the calculation gives -45.40 kJ per mole of atoms. For the total energy, the calculation gives -31.5 eV per formula unit.

---

6.
First-principles (PBE) data for a relaxed structure of Rb3Y2MnTe6, as listed in the Alexandria database.

```
Rb3Y2MnTe6
1.0
7.6475 0.0988 -0.0236
-3.7363 6.6734 -0.0236
-1.3305 -2.3037 8.5258
Te Mn Rb Y
6 1 3 2
direct
0.3660 0.0589 0.1842
0.6340 0.9411 0.8158
0.0589 0.3660 0.1842
0.9411 0.6340 0.8158
0.2598 0.2598 0.7933
0.7402 0.7402 0.2067
0.0000 0.0000 0.0000
0.1741 0.8259 0.5000
0.5000 0.5000 0.5000
0.8259 0.1741 0.5000
0.3379 0.6621 0.0000
0.6621 0.3379 0.0000
```

Values from the calculation:
For the energy relative to the elements, uncorrected, the calculation gives -101.59 kJ per mole of atoms. For the total energy, the calculation gives -56.5 eV per formula unit.

---

7.
First-principles (PBE) data for a relaxed structure of RbY2MnTe, as listed in the Alexandria database.

```
RbY2MnTe
1.0
-2.7866 3.7826 -2.4344
0.1357 -2.9378 -4.7200
-4.4964 -2.4244 1.3798
Mn Te Y Rb
1 1 2 1
direct
0.0000 0.0000 0.0000
0.0000 0.5000 0.0000
0.5000 0.0000 0.0000
0.0000 0.0000 0.5000
0.5000 0.5000 0.5000
```

Values from the calculation:
For the energy relative to the elements, uncorrected, the calculation gives 14.90 kJ per mole of atoms. For the total energy, the calculation gives -25.4 eV per formula unit.

---

8.
First-principles (PBE) data for a relaxed structure of RbYMnTe3, as listed in the Alexandria database.

```
RbYMnTe3
1.0
4.4962 0.0000 0.0000
0.0000 9.9577 -0.5117
0.0000 -3.1021 10.2282
Rb Y Mn Te
2 2 2 6
direct
0.2500 0.2103 0.2408
0.7500 0.7897 0.7592
0.2500 0.6687 0.1388
0.7500 0.3313 0.8612
0.7500 0.9156 0.3930
0.2500 0.0844 0.6070
0.2500 0.5329 0.8360
0.2500 0.1142 0.8646
0.7500 0.8858 0.1354
0.2500 0.7911 0.4601
0.7500 0.2089 0.5399
0.7500 0.4671 0.1640
```

Values from the calculation:
For the energy relative to the elements, uncorrected, the calculation gives -94.58 kJ per mole of atoms. For the total energy, the calculation gives -31.9 eV per formula unit.